1.
Here is a relaxed structure of BIrCl2F from the Alexandria database. Energies are from PBEsol.

Cell lengths 5.1214, 5.1214, 3.7016 Å; angles 90.00, 90.00, 90.00 degrees
With the nearest neighbours (Å) after each atom.
Space group P4/mmm (No. 123)
One atom of each set of equivalent atoms:
B (0.0000, 0.0000, 0.0000) [1 per cell]  8 Cl 3.16
Ir (0.5000, 0.5000, 0.0000) [1 per cell]  2 F 1.85
Cl (0.0000, 0.5000, 0.5000) [2 per cell]  2 F 2.56
F (0.5000, 0.5000, 0.5000) [1 per cell]  2 Ir 1.85

Formation energy from raw total energies (kJ/mol of atoms): 134.2



2.
Here is a relaxed structure of MgBClF2 from the Alexandria database. Energies are from PBEsol.

Cell lengths 4.8189, 4.8189, 3.5255 Å; angles 90.00, 90.00, 90.00 degrees
With the nearest neighbours (Å) after each atom.
Space group P4/mmm (No. 123)
One atom of each set of equivalent atoms:
Mg (0.0000, 0.0000, 0.0000) [1 per cell]  8 F 2.99
B (0.5000, 0.5000, 0.0000) [1 per cell]  2 Cl 1.76
Cl (0.5000, 0.5000, 0.5000) [1 per cell]  2 B 1.76
F (0.0000, 0.5000, 0.5000) [2 per cell]  2 Cl 2.41

Formation energy from raw total energies (kJ/mol of atoms): -2.6



3.
Here is a relaxed structure of BP2ClF from the Alexandria database. Energies are from PBEsol.

Cell lengths 4.0086, 4.0086, 4.3412 Å; angles 90.00, 90.00, 90.00 degrees
With the nearest neighbours (Å) after each atom.
Space group P4/mmm (No. 123)
One atom of each set of equivalent atoms:
B (0.0000, 0.0000, 0.0000) [1 per cell]  4 P 2.00, 2 Cl 2.17
P (0.0000, 0.5000, 0.0000) [2 per cell]  2 B 2.00
Cl (0.0000, 0.0000, 0.5000) [1 per cell]  2 B 2.17
F (0.5000, 0.5000, 0.5000) [1 per cell]  4 Cl 2.83, 8 P 2.95

Formation energy from raw total energies (kJ/mol of atoms): 50.4



Number 1: volume 19.4 Å³ per atom. Number 2: volume 16.4 Å³ per atom. Number 3: volume 14.0 Å³ per atom.